No. 1
Computed, not measured: a geometry-optimized FeBiB2H structure at the PBE level of DFT.

Cell: 3.768 3.768 4.234 Å, 90.00 90.00 90.00°
Space group P4/mmm (No. 123)
One atom of each set of equivalent atoms:
Fe  0.000  0.000  0.000 (multiplicity 1)
Bi  0.500  0.500  0.000 (multiplicity 1)
B  0.000  0.500  0.500 (multiplicity 2)
H  0.500  0.500  0.500 (multiplicity 1)

Values from the calculation:
DOS(E_F)   3.61 states/eV per cell
Crystal system   tetragonal
Energy above the lowest structure with this stoichiometry   1.38 eV/f.u.
ρ   7939 kg/m3
E_tot   -20.6 eV/cell

***

No. 2
Computed, not measured: a geometry-optimized CeNi3Rh2 structure at the PBE level of DFT.

Cell: 5.5310 5.5310 19.6337 Å, 90.00 90.00 120.00°
Space group R-3m (No. 166, hexagonal axes)
One atom of each set of equivalent atoms:
Ce  0.0000  0.0000  0.2198 (multiplicity 6)
Ni  0.0254  0.5127  0.2232 (multiplicity 18)
Rh  0.0000  0.0000  0.0000 (multiplicity 3)
Rh  0.0000  0.5000  0.0000 (multiplicity 9)

Values from the calculation:
DOS(E_F)   51.08 states/eV per cell
Crystal system   trigonal
ρ   9998 kg/m3
E_tot   -236.4 eV/cell

***

No. 3
Computed, not measured: a geometry-optimized Ag4PdAu2 structure at the PBE level of DFT.

Cell: 7.144 5.256 7.628 Å, 90.00 117.30 90.00°
Space group P2_1/m (No. 11)
One atom of each set of equivalent atoms:
Ag  0.109  0.250  0.074 (multiplicity 2)
Ag  0.111  0.501  0.726 (multiplicity 4)
Ag  0.258  0.750  0.295 (multiplicity 2)
Pd  0.456  0.750  0.702 (multiplicity 2)
Au  0.295  0.250  0.499 (multiplicity 2)
Au  0.481  0.750  0.075 (multiplicity 2)

Values from the calculation:
DOS(E_F)   5.11 states/eV per cell
Crystal system   monoclinic
Energy above the lowest structure with this stoichiometry   0.18 eV/f.u.
ρ   12157 kg/m3
E_tot   -45.7 eV/cell

***

No. 4
Computed, not measured: a geometry-optimized Zn2CdCu structure at the PBE level of DFT.

Cell: 8.930 2.987 4.907 Å, 90.00 100.49 90.00°
Space group Cm (No. 8)
One atom of each set of equivalent atoms:
Zn  0.000  0.000  0.000 (multiplicity 2)
Zn  0.249  0.500  0.227 (multiplicity 2)
Cd  0.239  0.000  0.713 (multiplicity 2)
Cu  0.487  0.000  0.441 (multiplicity 2)

Values from the calculation:
DOS(E_F)   2.95 states/eV per cell
Crystal system   monoclinic
ρ   7917 kg/m3
E_tot   -14.5 eV/cell

***

Among the records above, which one has the lowest ρ?
Zn2CdCu